# Y2IrRu3 | the Alexandria database | PBE | optimized geometry
# Formation energy, eV per atom: -0.433
# D(E_F), states/eV per atom: 1.005
# Total DFT energy (no corrections), eV/cell: -104.4
data_Y2IrRu3
_cell_length_a 9.1544
_cell_length_b 5.2850
_cell_length_c 5.4066
_cell_angle_alpha 90.00
_cell_angle_beta 124.21
_cell_angle_gamma 90.00
_space_group_name_H-M_alt 'C 1 2/m 1'
_space_group_IT_number 12
loop_
_space_group_symop_operation_xyz
'x,y,z'
'-x,-y,-z'
'-x,y,-z'
'x,-y,z'
'x+1/2,y+1/2,z'
'-x+1/2,-y+1/2,-z'
'-x+1/2,y+1/2,-z'
'x+1/2,-y+1/2,z'
loop_
_atom_site_label
_atom_site_type_symbol
_atom_site_fract_x
_atom_site_fract_y
_atom_site_fract_z
Y1 Y 0.1235 0.0000 0.3703
Ir1 Ir 0.0000 0.5000 0.5000
Ru1 Ru 0.0000 0.5000 0.0000
Ru2 Ru 0.2500 0.2500 0.0000